<i>
Below is a relaxed structure of CaPuAu4, with properties calculated at the PBE-GGA level.

Geometry as CIF:
```
data_CaPuAu4
_chemical_formula_sum 'Ca1 Pu1 Au4'
_symmetry_space_group_name_H-M 'P 1'
_symmetry_Int_Tables_number 1
_cell_length_a 5.699
_cell_length_b 5.699
_cell_length_c 5.699
_cell_angle_alpha 60.00
_cell_angle_beta 60.00
_cell_angle_gamma 60.00
loop_
_symmetry_equiv_pos_as_xyz
'x,y,z'
loop_
_atom_site_label
_atom_site_fract_x
_atom_site_fract_y
_atom_site_fract_z
Ca1 0.000 0.000 0.000
Pu1 0.250 0.250 0.250
Au1 0.124 0.625 0.625
Au2 0.625 0.124 0.625
Au3 0.625 0.625 0.124
Au4 0.625 0.625 0.625
```

---

<ii>
Below is a relaxed structure of CaPuAu4, with properties calculated at the PBE-GGA level.

Geometry as CIF:
```
data_CaPuAu4
_chemical_formula_sum 'Ca1 Pu1 Au4'
_symmetry_space_group_name_H-M 'P 1'
_symmetry_Int_Tables_number 1
_cell_length_a 5.361
_cell_length_b 5.361
_cell_length_c 7.717
_cell_angle_alpha 111.06
_cell_angle_beta 111.06
_cell_angle_gamma 40.42
loop_
_symmetry_equiv_pos_as_xyz
'x,y,z'
loop_
_atom_site_label
_atom_site_fract_x
_atom_site_fract_y
_atom_site_fract_z
Ca1 0.000 0.000 0.000
Pu1 0.000 0.000 0.500
Au1 0.331 0.331 0.166
Au2 0.334 0.334 0.668
Au3 0.666 0.666 0.332
Au4 0.669 0.669 0.834
```

---

<iii>
Below is a relaxed structure of CaPuAu4, with properties calculated at the PBE-GGA level.

Geometry as CIF:
```
data_CaPuAu4
_chemical_formula_sum 'Ca1 Pu1 Au4'
_symmetry_space_group_name_H-M 'P 1'
_symmetry_Int_Tables_number 1
_cell_length_a 4.764
_cell_length_b 4.764
_cell_length_c 7.028
_cell_angle_alpha 90.06
_cell_angle_beta 90.06
_cell_angle_gamma 120.05
loop_
_symmetry_equiv_pos_as_xyz
'x,y,z'
loop_
_atom_site_label
_atom_site_fract_x
_atom_site_fract_y
_atom_site_fract_z
Ca1 0.000 0.000 0.000
Pu1 0.000 0.000 0.500
Au1 0.333 0.667 0.256
Au2 0.333 0.667 0.744
Au3 0.667 0.333 0.256
Au4 0.667 0.333 0.744
```

---

Energies relative to the most stable structure are <i> 13.7; <ii> 0.6; <iii> 0.0, reported in kJ/mol of atoms.

---

<i>
Below is a relaxed structure of CaPuTlAu, with properties calculated at the PBE-GGA level.

Geometry as CIF:
```
data_CaPuTlAu
_chemical_formula_sum 'Ca1 Pu1 Tl1 Au1'
_symmetry_space_group_name_H-M 'P 1'
_symmetry_Int_Tables_number 1
_cell_length_a 5.310
_cell_length_b 5.310
_cell_length_c 5.310
_cell_angle_alpha 60.00
_cell_angle_beta 60.00
_cell_angle_gamma 60.00
loop_
_symmetry_equiv_pos_as_xyz
'x,y,z'
loop_
_atom_site_label
_atom_site_fract_x
_atom_site_fract_y
_atom_site_fract_z
Ca1 0.000 0.000 0.000
Pu1 0.500 0.500 0.500
Tl1 0.250 0.250 0.250
Au1 0.750 0.750 0.750
```

---

<ii>
Below is a relaxed structure of CaPuTlAu, with properties calculated at the PBE-GGA level.

Geometry as CIF:
```
data_CaPuTlAu
_chemical_formula_sum 'Ca1 Pu1 Tl1 Au1'
_symmetry_space_group_name_H-M 'P 1'
_symmetry_Int_Tables_number 1
_cell_length_a 3.523
_cell_length_b 3.523
_cell_length_c 8.428
_cell_angle_alpha 90.00
_cell_angle_beta 90.00
_cell_angle_gamma 90.00
loop_
_symmetry_equiv_pos_as_xyz
'x,y,z'
loop_
_atom_site_label
_atom_site_fract_x
_atom_site_fract_y
_atom_site_fract_z
Ca1 0.000 0.000 0.000
Pu1 0.000 0.000 0.451
Tl1 0.500 0.500 0.726
Au1 0.500 0.500 0.221
```

---

Energies relative to the most stable structure are <i> 6.9; <ii> 0.0, reported in kJ/mol of atoms.

---

<i>
Below is a relaxed structure of RbCa3Au, with properties calculated at the PBE-GGA level.

Geometry as CIF:
```
data_RbCa3Au
_chemical_formula_sum 'Rb1 Ca3 Au1'
_symmetry_space_group_name_H-M 'P 1'
_symmetry_Int_Tables_number 1
_cell_length_a 5.959
_cell_length_b 5.959
_cell_length_c 5.959
_cell_angle_alpha 90.00
_cell_angle_beta 90.00
_cell_angle_gamma 90.00
loop_
_symmetry_equiv_pos_as_xyz
'x,y,z'
loop_
_atom_site_label
_atom_site_fract_x
_atom_site_fract_y
_atom_site_fract_z
Rb1 0.000 0.000 0.000
Ca1 0.000 0.500 0.500
Ca2 0.500 0.000 0.500
Ca3 0.500 0.500 0.000
Au1 0.500 0.500 0.500
```

---

<ii>
Below is a relaxed structure of RbCa3Au, with properties calculated at the PBE-GGA level.

Geometry as CIF:
```
data_RbCa3Au
_chemical_formula_sum 'Rb1 Ca3 Au1'
_symmetry_space_group_name_H-M 'P 1'
_symmetry_Int_Tables_number 1
_cell_length_a 5.975
_cell_length_b 5.975
_cell_length_c 5.975
_cell_angle_alpha 90.00
_cell_angle_beta 90.00
_cell_angle_gamma 90.00
loop_
_symmetry_equiv_pos_as_xyz
'x,y,z'
loop_
_atom_site_label
_atom_site_fract_x
_atom_site_fract_y
_atom_site_fract_z
Rb1 0.000 0.000 0.000
Ca1 0.000 0.000 0.500
Ca2 0.000 0.500 0.000
Ca3 0.500 0.000 0.000
Au1 0.500 0.500 0.500
```

---

Energies relative to the most stable structure are <i> 0.0; <ii> 137.3, reported in kJ/mol of atoms.

---

<i>
Below is a relaxed structure of Rb2CaAu, with properties calculated at the PBE-GGA level.

Geometry as CIF:
```
data_Rb2CaAu
_chemical_formula_sum 'Rb2 Ca1 Au1'
_symmetry_space_group_name_H-M 'P 1'
_symmetry_Int_Tables_number 1
_cell_length_a 6.394
_cell_length_b 6.394
_cell_length_c 6.394
_cell_angle_alpha 60.00
_cell_angle_beta 60.00
_cell_angle_gamma 60.00
loop_
_symmetry_equiv_pos_as_xyz
'x,y,z'
loop_
_atom_site_label
_atom_site_fract_x
_atom_site_fract_y
_atom_site_fract_z
Rb1 0.250 0.250 0.250
Rb2 0.750 0.750 0.750
Ca1 0.000 0.000 0.000
Au1 0.500 0.500 0.500
```

---

<ii>
Below is a relaxed structure of Rb2CaAu, with properties calculated at the PBE-GGA level.

Geometry as CIF:
```
data_Rb2CaAu
_chemical_formula_sum 'Rb2 Ca1 Au1'
_symmetry_space_group_name_H-M 'P 1'
_symmetry_Int_Tables_number 1
_cell_length_a 13.189
_cell_length_b 13.189
_cell_length_c 13.189
_cell_angle_alpha 18.87
_cell_angle_beta 18.87
_cell_angle_gamma 18.87
loop_
_symmetry_equiv_pos_as_xyz
'x,y,z'
loop_
_atom_site_label
_atom_site_fract_x
_atom_site_fract_y
_atom_site_fract_z
Rb1 0.107 0.107 0.107
Rb2 0.893 0.893 0.893
Ca1 0.000 0.000 0.000
Au1 0.500 0.500 0.500
```

---

<iii>
Below is a relaxed structure of Rb2CaAu, with properties calculated at the PBE-GGA level.

Geometry as CIF:
```
data_Rb2CaAu
_chemical_formula_sum 'Rb4 Ca2 Au2'
_symmetry_space_group_name_H-M 'P 1'
_symmetry_Int_Tables_number 1
_cell_length_a 9.191
_cell_length_b 9.191
_cell_length_c 9.191
_cell_angle_alpha 95.99
_cell_angle_beta 95.99
_cell_angle_gamma 142.31
loop_
_symmetry_equiv_pos_as_xyz
'x,y,z'
loop_
_atom_site_label
_atom_site_fract_x
_atom_site_fract_y
_atom_site_fract_z
Rb1 0.375 0.244 0.369
Rb2 0.756 0.125 0.131
Rb3 0.875 0.006 0.631
Rb4 0.994 0.625 0.869
Ca1 0.250 0.750 0.500
Ca2 0.500 0.500 0.000
Au1 0.000 0.000 0.000
Au2 0.750 0.250 0.500
```

---

Energies relative to the most stable structure are <i> 23.8; <ii> 11.1; <iii> 0.0, reported in kJ/mol of atoms.

---

<i>
Below is a relaxed structure of RbCaAu2, with properties calculated at the PBE-GGA level.

Geometry as CIF:
```
data_RbCaAu2
_chemical_formula_sum 'Rb2 Ca2 Au4'
_symmetry_space_group_name_H-M 'P 1'
_symmetry_Int_Tables_number 1
_cell_length_a 7.149
_cell_length_b 7.149
_cell_length_c 7.149
_cell_angle_alpha 107.45
_cell_angle_beta 107.45
_cell_angle_gamma 113.60
loop_
_symmetry_equiv_pos_as_xyz
'x,y,z'
loop_
_atom_site_label
_atom_site_fract_x
_atom_site_fract_y
_atom_site_fract_z
Rb1 0.000 0.000 0.000
Rb2 0.750 0.250 0.500
Ca1 0.250 0.750 0.500
Ca2 0.500 0.500 0.000
Au1 0.170 0.625 0.045
Au2 0.375 0.420 0.545
Au3 0.580 0.125 0.955
Au4 0.875 0.830 0.455
```

---

<ii>
Below is a relaxed structure of RbCaAu2, with properties calculated at the PBE-GGA level.

Geometry as CIF:
```
data_RbCaAu2
_chemical_formula_sum 'Rb1 Ca1 Au2'
_symmetry_space_group_name_H-M 'P 1'
_symmetry_Int_Tables_number 1
_cell_length_a 5.604
_cell_length_b 5.604
_cell_length_c 3.652
_cell_angle_alpha 90.00
_cell_angle_beta 90.00
_cell_angle_gamma 90.00
loop_
_symmetry_equiv_pos_as_xyz
'x,y,z'
loop_
_atom_site_label
_atom_site_fract_x
_atom_site_fract_y
_atom_site_fract_z
Rb1 0.000 0.000 0.000
Ca1 0.500 0.500 0.000
Au1 0.000 0.500 0.500
Au2 0.500 0.000 0.500
```

---

Energies relative to the most stable structure are <i> 12.5; <ii> 0.0, reported in kJ/mol of atoms.